[1]
Below is a relaxed LaRh3Pb3 crystal, with properties calculated at the PBE level.

For the total moment, the calculation gives 0.233 μB per formula unit. As for the total energy: -5.234 eV/atom. As for the theoretical density: 8.90 g cm⁻³. Its energy relative to the lowest polymorph listed for this composition is 440 meV/atom.

Cell: 7.361 7.361 7.361 Å, 90.00 90.00 90.00°
Space group Pm-3n (No. 223)
Asymmetric unit:
La  0.000  0.000  0.000 x2
Rh  0.000  0.250  0.500 x6
Pb  0.000  0.500  0.250 x6



[2]
Below is a relaxed PmSmZnFe crystal, with properties calculated at the PBE level.

For the total moment, the calculation gives 1.453 μB per formula unit. As for the total energy: -4.806 eV/atom. As for the theoretical density: 7.64 g cm⁻³.

Cell: 7.127 7.127 7.127 Å, 90.00 90.00 90.00°
Space group F-43m (No. 216)
Asymmetric unit:
Pm  0.000  0.000  0.000 x4
Sm  0.000  0.000  0.500 x4
Zn  0.250  0.250  0.250 x4
Fe  0.250  0.250  0.750 x4



[3]
Below is a relaxed HfZnSi3 crystal, with properties calculated at the PBE level.

For the total moment, the calculation gives 0.000 μB per formula unit. As for the total energy: -4.640 eV/atom. As for the theoretical density: 5.65 g cm⁻³. Its energy relative to the lowest polymorph listed for this composition is 0 meV/atom. The raw formation energy is 858.9 meV per atom.

Cell: 4.586 4.586 4.586 Å, 90.00 90.00 90.00°
Space group Pm-3m (No. 221)
Asymmetric unit:
Hf  0.000  0.000  0.000 x1
Zn  0.500  0.500  0.500 x1
Si  0.000  0.500  0.500 x3